Ca4Pt2N: optimized geometry, GGA-PBE.

Cell lengths 4.701, 4.701, 14.760 Å; angles 90.00, 90.00, 90.00 degrees
Space group I4/mmm (No. 139)
Symmetry-distinct sites (fractional):
Ca 0.000 0.000 0.167 x4
Ca 0.000 0.500 0.000 x4
Pt 0.000 0.000 0.363 x4
N 0.000 0.000 0.000 x2

uncorrected energy = -33.66 eV per formula unit
raw formation energy = -0.750 eV per atom